{
  "formula": "SrZnFe",
  "functional": "PBE",
  "state": "optimized geometry",
  "magmom_total_mub_per_atom": 0.85,
  "formation_energy_mev_per_atom": 632,
  "cell": [[-4.777, 0.119, -0.544], [-1.961, -1.046, -4.265], [-2.457, -4.094, -0.578]],
  "species": ["Fe", "Sr", "Zn"],
  "frac_coords": [[0.000, 0.000, 0.000], [0.500, 0.500, 0.500], [0.750, 0.750, 0.750]]
}

{
  "formula": "SrZnFe2",
  "functional": "PBE",
  "state": "optimized geometry",
  "magmom_total_mub_per_atom": 1.18,
  "formation_energy_mev_per_atom": 726,
  "cell": [[-1.233, -2.646, -3.097], [3.701, -1.552, -0.148], [-1.131, -2.982, 2.997]],
  "species": ["Fe", "Fe", "Sr", "Zn"],
  "frac_coords": [[0.000, 0.000, 0.000], [0.500, 0.500, 0.000], [0.500, 0.000, 0.500], [0.000, 0.500, 0.500]]
}

{
  "formula": "SrZnFe2",
  "functional": "PBE",
  "state": "optimized geometry",
  "magmom_total_mub_per_atom": 1.30,
  "formation_energy_mev_per_atom": 650,
  "cell": [[-3.065, 0.308, 4.825], [1.820, -2.966, 4.545], [0.829, 4.147, -3.859]],
  "species": ["Fe", "Fe", "Sr", "Zn"],
  "frac_coords": [[0.032, 0.032, 0.000], [0.468, 0.468, 0.000], [0.750, 0.250, 0.500], [0.250, 0.750, 0.500]]
}